(1)
Density functional theory data (PBE-GGA) for Tb4SmNi2 after structural relaxation.

The structure in POSCAR format:
```
Tb4SmNi2
1.0
-6.333 0.842 1.152
0.321 -5.054 5.460
1.464 7.398 2.637
Tb Sm Ni
8 2 4
direct
0.506 0.407 0.767 Tb
0.250 0.252 0.349 Tb
0.750 0.748 0.651 Tb
0.994 0.407 0.767 Tb
0.750 0.028 0.388 Tb
0.006 0.593 0.233 Tb
0.494 0.593 0.233 Tb
0.250 0.972 0.612 Tb
0.250 0.857 0.975 Sm
0.750 0.143 0.025 Sm
0.250 0.266 0.998 Ni
0.750 0.734 0.002 Ni
0.750 0.383 0.409 Ni
0.250 0.617 0.591 Ni
```

Results
The calculation puts the formation energy at -0.135 eV/atom.


(2)
Density functional theory data (PBE-GGA) for TbSmNi3 after structural relaxation.

The structure in POSCAR format:
```
TbSmNi3
1.0
4.006 0.000 0.000
0.000 3.828 -0.732
0.000 0.367 12.296
Tb Sm Ni
2 2 6
direct
0.250 0.797 0.593 Tb
0.750 0.203 0.407 Tb
0.250 0.071 0.142 Sm
0.750 0.929 0.858 Sm
0.250 0.380 0.759 Ni
0.750 0.620 0.241 Ni
0.250 0.475 0.951 Ni
0.750 0.525 0.049 Ni
0.750 0.326 0.651 Ni
0.250 0.674 0.349 Ni
```

Results
The calculation puts the formation energy at -0.386 eV/atom.


(3)
Density functional theory data (PBE-GGA) for TbSm2Ni2 after structural relaxation.

The structure in POSCAR format:
```
TbSm2Ni2
1.0
3.898 0.000 0.000
0.000 7.651 0.000
0.000 0.000 7.651
Tb Sm Ni
2 4 4
direct
0.000 0.000 0.000 Tb
0.000 0.500 0.500 Tb
0.500 0.167 0.667 Sm
0.500 0.667 0.833 Sm
0.500 0.833 0.333 Sm
0.500 0.333 0.167 Sm
0.000 0.379 0.879 Ni
0.000 0.879 0.621 Ni
0.000 0.621 0.121 Ni
0.000 0.121 0.379 Ni
```

Results
The calculation puts the formation energy at -0.269 eV/atom.


(4)
Density functional theory data (PBE-GGA) for TbSmNi after structural relaxation.

The structure in POSCAR format:
```
TbSmNi
1.0
3.712 0.000 0.000
0.000 8.058 0.000
0.000 0.000 14.891
Tb Sm Ni
6 6 6
direct
0.500 0.410 0.114 Tb
0.500 0.590 0.886 Tb
0.500 0.410 0.386 Tb
0.500 0.590 0.614 Tb
0.500 0.743 0.250 Tb
0.500 0.257 0.750 Tb
0.000 0.190 0.945 Sm
0.000 0.810 0.055 Sm
0.000 0.190 0.555 Sm
0.000 0.810 0.445 Sm
0.000 0.117 0.250 Sm
0.000 0.883 0.750 Sm
0.500 0.065 0.091 Ni
0.500 0.935 0.909 Ni
0.500 0.065 0.409 Ni
0.500 0.935 0.591 Ni
0.000 0.482 0.250 Ni
0.000 0.518 0.750 Ni
```

Results
The calculation puts the formation energy at -0.252 eV/atom. The energy relative to the lowest polymorph listed for this composition comes out at 0.0 meV/atom.


(5)
Density functional theory data (PBE-GGA) for TbSmNi after structural relaxation.

The structure in POSCAR format:
```
TbSmNi
1.0
3.448 0.000 0.000
0.000 3.448 0.000
-1.724 -1.724 6.298
Ni Tb Sm
1 1 1
direct
0.663 0.663 0.325 Ni
0.038 0.038 0.076 Tb
0.299 0.299 0.599 Sm
```

Results
The calculation puts the formation energy at -0.195 eV/atom. The energy relative to the lowest polymorph listed for this composition comes out at 56.9 meV/atom.


(6)
Density functional theory data (PBE-GGA) for Tb3Sm3Ni4 after structural relaxation.

The structure in POSCAR format:
```
Tb3Sm3Ni4
1.0
-0.729 2.814 2.573
-1.115 -5.252 5.427
7.407 0.249 1.828
Tb Sm Ni
3 3 4
direct
0.000 0.498 0.000 Tb
0.000 0.000 0.502 Tb
0.500 0.167 0.833 Tb
0.500 0.834 0.166 Sm
0.500 0.333 0.334 Sm
0.500 0.666 0.667 Sm
0.000 0.621 0.379 Ni
0.000 0.376 0.624 Ni
0.000 0.883 0.877 Ni
0.000 0.123 0.117 Ni
```

Results
The calculation puts the formation energy at -0.279 eV/atom.


(7)
Density functional theory data (PBE-GGA) for TbSm2Ni after structural relaxation.

The structure in POSCAR format:
```
TbSm2Ni
1.0
-5.668 -2.652 -1.191
0.310 -3.382 6.055
-4.470 7.553 4.449
Tb Sm Ni
4 8 4
direct
0.646 0.535 0.250 Tb
0.854 0.035 0.250 Tb
0.354 0.465 0.750 Tb
0.146 0.965 0.750 Tb
0.176 0.679 0.066 Sm
0.324 0.179 0.434 Sm
0.824 0.321 0.566 Sm
0.676 0.821 0.934 Sm
0.824 0.321 0.934 Sm
0.676 0.821 0.566 Sm
0.176 0.679 0.434 Sm
0.324 0.179 0.066 Sm
0.057 0.388 0.250 Ni
0.443 0.888 0.250 Ni
0.943 0.612 0.750 Ni
0.557 0.112 0.750 Ni
```

Results
The calculation puts the formation energy at -0.208 eV/atom. The energy relative to the lowest polymorph listed for this composition comes out at 0.0 meV/atom.


(8)
Density functional theory data (PBE-GGA) for TbSmZnNi after structural relaxation.

The structure in POSCAR format:
```
TbSmZnNi
1.0
3.836 0.000 0.000
0.000 4.443 0.000
-1.918 0.000 5.305
Tb Sm Zn Ni
1 1 1 1
direct
0.858 0.500 0.717 Tb
0.140 0.000 0.279 Sm
0.567 0.500 0.134 Zn
0.435 0.000 0.870 Ni
```

Results
The calculation puts the formation energy at -0.326 eV/atom.


(9)
Density functional theory data (PBE-GGA) for Sm7Ni2Te2 after structural relaxation.

The structure in POSCAR format:
```
Sm7Ni2Te2
1.0
-2.228 2.657 -1.840
-8.205 -0.516 5.005
-1.574 6.423 6.994
Sm Ni Te
7 2 2
direct
0.816 0.090 0.279 Sm
0.853 0.401 0.893 Sm
0.500 0.022 0.978 Sm
0.631 0.474 0.265 Sm
0.369 0.735 0.526 Sm
0.184 0.721 0.910 Sm
0.147 0.107 0.599 Sm
0.738 0.856 0.668 Ni
0.262 0.332 0.144 Ni
0.000 0.759 0.241 Te
0.500 0.357 0.643 Te
```

Results
The formation energy without anion corrections comes out at -0.644 eV/atom.


(10)
Density functional theory data (PBE-GGA) for Sm3NiTe after structural relaxation.

The structure in POSCAR format:
```
Sm3NiTe
1.0
-0.599 3.963 0.512
-3.622 0.476 -7.919
-6.179 -1.588 5.067
Sm Ni Te
6 2 2
direct
0.250 0.591 0.316 Sm
0.750 0.409 0.684 Sm
0.250 0.066 0.700 Sm
0.750 0.258 0.076 Sm
0.750 0.934 0.300 Sm
0.250 0.742 0.924 Sm
0.750 0.584 0.061 Ni
0.250 0.416 0.939 Ni
0.750 0.767 0.615 Te
0.250 0.233 0.385 Te
```

Results
The formation energy without anion corrections comes out at -0.701 eV/atom.


(11)
Density functional theory data (PBE-GGA) for Sm6NiTe4 after structural relaxation.

The structure in POSCAR format:
```
Sm6NiTe4
1.0
8.642 0.027 -0.100
0.099 8.641 -0.100
-0.027 -0.027 8.643
Sm Ni Te
12 2 8
direct
0.702 0.059 0.070 Sm
0.070 0.298 0.059 Sm
0.570 0.441 0.202 Sm
0.941 0.070 0.702 Sm
0.559 0.202 0.570 Sm
0.202 0.430 0.441 Sm
0.798 0.570 0.559 Sm
0.441 0.798 0.430 Sm
0.059 0.930 0.298 Sm
0.430 0.559 0.798 Sm
0.930 0.702 0.941 Sm
0.298 0.941 0.930 Sm
0.500 0.500 0.500 Ni
0.000 0.000 0.000 Ni
0.370 0.130 0.250 Te
0.870 0.250 0.370 Te
0.250 0.630 0.130 Te
0.250 0.250 0.750 Te
0.750 0.750 0.250 Te
0.750 0.370 0.870 Te
0.130 0.750 0.630 Te
0.630 0.870 0.750 Te
```

Results
The formation energy without anion corrections comes out at -1.001 eV/atom.


(12)
Density functional theory data (PBE-GGA) for Sm5Ni2Te2 after structural relaxation.

The structure in POSCAR format:
```
Sm5Ni2Te2
1.0
0.474 0.576 7.780
5.820 -5.290 0.037
5.524 6.100 3.138
Sm Ni Te
10 4 4
direct
0.000 0.000 0.000 Sm
0.500 0.500 0.000 Sm
0.461 0.159 0.762 Sm
0.777 0.841 0.762 Sm
0.277 0.659 0.762 Sm
0.961 0.341 0.762 Sm
0.539 0.841 0.238 Sm
0.223 0.159 0.238 Sm
0.723 0.341 0.238 Sm
0.039 0.659 0.238 Sm
0.132 0.373 0.000 Ni
0.868 0.627 0.000 Ni
0.368 0.873 0.000 Ni
0.632 0.127 0.000 Ni
0.206 0.000 0.588 Te
0.706 0.500 0.588 Te
0.794 0.000 0.412 Te
0.294 0.500 0.412 Te
```

Results
The formation energy without anion corrections comes out at -0.752 eV/atom.


(13)
Density functional theory data (PBE-GGA) for Sm5Ni2Te after structural relaxation.

The structure in POSCAR format:
```
Sm5Ni2Te
1.0
-4.113 2.628 6.174
-6.252 1.128 -4.646
3.099 -8.149 0.517
Sm Ni Te
10 4 2
direct
0.519 0.709 0.728 Sm
0.791 0.981 0.272 Sm
0.000 0.000 0.000 Sm
0.500 0.500 0.000 Sm
0.209 0.019 0.728 Sm
0.709 0.209 0.728 Sm
0.019 0.519 0.728 Sm
0.291 0.791 0.272 Sm
0.981 0.481 0.272 Sm
0.481 0.291 0.272 Sm
0.132 0.368 0.000 Ni
0.632 0.132 0.000 Ni
0.368 0.868 0.000 Ni
0.868 0.632 0.000 Ni
0.750 0.750 0.500 Te
0.250 0.250 0.500 Te
```

Results
The formation energy without anion corrections comes out at -0.516 eV/atom.


(14)
Density functional theory data (PBE-GGA) for Sm3ThNi8 after structural relaxation.

The structure in POSCAR format:
```
Sm3ThNi8
1.0
-4.103 2.039 2.336
0.166 1.055 5.030
1.547 8.749 0.742
Sm Th Ni
3 1 8
direct
0.373 0.373 0.880 Sm
0.003 0.003 0.991 Sm
0.497 0.497 0.509 Sm
0.877 0.877 0.370 Th
0.935 0.438 0.189 Ni
0.440 0.937 0.686 Ni
0.438 0.438 0.189 Ni
0.937 0.937 0.686 Ni
0.188 0.188 0.437 Ni
0.688 0.688 0.937 Ni
0.438 0.935 0.189 Ni
0.937 0.440 0.686 Ni
```

Results
The calculation puts the formation energy at -0.365 eV/atom.


(15)
Density functional theory data (PBE-GGA) for SmThNi2 after structural relaxation.

The structure in POSCAR format:
```
SmThNi2
1.0
3.483 0.000 0.000
0.000 4.910 0.000
0.000 0.000 4.910
Ni Sm Th
2 1 1
direct
0.000 0.000 0.500 Ni
0.000 0.500 0.000 Ni
0.500 0.500 0.500 Sm
0.500 0.000 0.000 Th
```

Results
The calculation puts the formation energy at -0.278 eV/atom. The energy relative to the lowest polymorph listed for this composition comes out at 126.4 meV/atom.


(16)
Density functional theory data (PBE-GGA) for SmThNi10 after structural relaxation.

The structure in POSCAR format:
```
SmThNi10
1.0
-3.027 -2.536 -0.499
3.209 -3.682 -0.758
0.037 -1.691 8.371
Sm Th Ni
1 1 10
direct
0.000 0.000 0.000 Sm
0.000 0.500 0.500 Th
0.000 0.000 0.334 Ni
0.000 0.500 0.832 Ni
0.000 0.500 0.168 Ni
0.000 0.000 0.666 Ni
0.500 0.000 0.500 Ni
0.500 0.500 0.000 Ni
0.500 0.251 0.250 Ni
0.500 0.749 0.750 Ni
0.500 0.749 0.250 Ni
0.500 0.251 0.750 Ni
```

Results
The calculation puts the formation energy at -0.353 eV/atom.


(17)
Density functional theory data (PBE-GGA) for SmThNi2 after structural relaxation.

The structure in POSCAR format:
```
SmThNi2
1.0
3.465 0.000 -1.249
0.000 4.303 0.000
0.140 0.000 5.711
Sm Th Ni
1 1 2
direct
0.446 0.500 0.426 Sm
0.710 0.000 0.963 Th
0.166 0.500 0.874 Ni
0.008 0.000 0.555 Ni
```

Results
The calculation puts the formation energy at -0.404 eV/atom. The energy relative to the lowest polymorph listed for this composition comes out at 0.0 meV/atom.


(18)
Density functional theory data (PBE-GGA) for SmThNi after structural relaxation.

The structure in POSCAR format:
```
SmThNi
1.0
4.847 0.000 0.000
2.424 4.198 0.000
2.424 1.399 3.958
Ni Sm Th
1 1 1
direct
0.250 0.250 0.250 Ni
0.000 0.000 0.000 Sm
0.500 0.500 0.500 Th
```

Results
The calculation puts the formation energy at 0.011 eV/atom. The energy relative to the lowest polymorph listed for this composition comes out at 165.0 meV/atom.


(19)
Density functional theory data (PBE-GGA) for SmTh2Ni9 after structural relaxation.

The structure in POSCAR format:
```
SmTh2Ni9
1.0
4.805 0.000 1.430
2.190 4.277 1.430
-0.007 -0.005 8.812
Sm Th Ni
1 2 9
direct
0.000 0.000 0.000 Sm
0.864 0.864 0.408 Th
0.136 0.136 0.592 Th
0.667 0.667 0.999 Ni
0.333 0.333 0.001 Ni
0.500 0.500 0.500 Ni
0.418 0.418 0.245 Ni
0.919 0.418 0.245 Ni
0.418 0.919 0.245 Ni
0.582 0.582 0.755 Ni
0.582 0.081 0.755 Ni
0.081 0.582 0.755 Ni
```

Results
The calculation puts the formation energy at -0.393 eV/atom.


(20)
Density functional theory data (PBE-GGA) for Sm2Th3Ni2 after structural relaxation.

The structure in POSCAR format:
```
Sm2Th3Ni2
1.0
-1.648 3.230 0.957
-6.117 -0.702 -0.817
-3.979 -2.167 7.809
Sm Th Ni
2 3 2
direct
0.166 0.471 0.196 Sm
0.834 0.529 0.804 Sm
0.500 0.000 0.000 Th
0.381 0.805 0.434 Th
0.619 0.195 0.566 Th
0.138 0.934 0.790 Ni
0.862 0.066 0.210 Ni
```

Results
The calculation puts the formation energy at -0.237 eV/atom.


no.,size of the total moment (μB/atom),E_tot (eV per atom)
1,0.000,-5.107
2,0.000,-5.725
3,0.000,-5.395
4,0.000,-5.296
5,0.000,-5.239
6,0.000,-5.397
7,0.000,-5.171
8,0.000,-4.427
9,0.000,-5.269
10,0.000,-5.317
11,0.000,-5.243
12,0.000,-5.356
13,0.000,-5.303
14,0.000,-6.017
15,0.000,-6.203
16,0.195,-6.182
17,0.000,-6.330
18,0.000,-5.963
19,0.000,-6.359
20,0.000,-6.417